Entry 1:
Density functional theory data (PBE) for crystalline LiCrTe2 at its relaxed geometry.

a b c (Å): 7.2687 7.2687 3.8260
angles (deg): 90.11 90.11 28.83
Positions (direct):
Li: 0.0000 0.0000 0.0000
Cr: 0.2178 0.2178 0.5020
Te: 0.5712 0.5712 0.5006
Te: 0.7999 0.7999 0.0026

## Properties
* formation energy from raw total energies: -0.322 eV per atom
* space group: No. 8
* DOS(E_F): 0.3696 states/eV/atom

=====

Entry 2:
Density functional theory data (PBE) for crystalline LiCr2Te at its relaxed geometry.

a b c (Å): 5.6369 5.6369 3.0363
angles (deg): 104.94 104.94 117.56
Positions (direct):
Li: 0.0000 0.0000 0.0000
Cr: 0.0000 0.5000 0.5000
Cr: 0.5000 0.0000 0.5000
Te: 0.5000 0.5000 0.0000

## Properties
* formation energy from raw total energies: 0.552 eV per atom
* space group: No. 12
* DOS(E_F): 0.7544 states/eV/atom

=====

Entry 3:
Density functional theory data (PBE) for crystalline LiCrTe2 at its relaxed geometry.

a b c (Å): 7.4085 7.4085 7.4085
angles (deg): 31.38 31.38 31.38
Positions (direct):
Li: 0.0000 0.0000 0.0000
Cr: 0.1608 0.1608 0.1608
Te: 0.5652 0.5652 0.5652
Te: 0.7561 0.7561 0.7561

## Properties
* formation energy from raw total energies: -0.468 eV per atom
* space group: No. 160
* DOS(E_F): 0.1569 states/eV/atom

=====

Entry 4:
Density functional theory data (PBE) for crystalline LiCr4Te at its relaxed geometry.

a b c (Å): 4.8884 4.8884 4.8884
angles (deg): 60.00 60.00 60.00
Positions (direct):
Li: 0.0000 0.0000 0.0000
Cr: 0.1181 0.6273 0.6273
Cr: 0.6273 0.1181 0.6273
Cr: 0.6273 0.6273 0.1181
Cr: 0.6273 0.6273 0.6273
Te: 0.2500 0.2500 0.2500

## Properties
* formation energy from raw total energies: 0.461 eV per atom
* space group: No. 216
* DOS(E_F): 0.7716 states/eV/atom

=====

Entry 5:
Density functional theory data (PBE) for crystalline LiCrTe2 at its relaxed geometry.

a b c (Å): 5.3340 5.3340 3.1975
angles (deg): 90.00 90.00 90.00
Positions (direct):
Li: 0.0000 0.0000 0.0000
Cr: 0.5000 0.5000 0.0000
Te: 0.0000 0.5000 0.5000
Te: 0.5000 0.0000 0.5000

## Properties
* formation energy from raw total energies: -0.133 eV per atom
* space group: No. 123
* DOS(E_F): 0.3677 states/eV/atom

=====

Entry 6:
Density functional theory data (PBE) for crystalline LiCrTe at its relaxed geometry.

a b c (Å): 4.5683 4.5683 4.1241
angles (deg): 90.00 90.00 120.00
Positions (direct):
Li: 0.0000 0.0000 0.0000
Cr: 0.3333 0.6667 0.5159
Te: 0.6667 0.3333 0.3674

## Properties
* E above lowest polymorph: 213 meV/atom
* formation energy from raw total energies: 0.000 eV per atom
* space group: No. 156
* DOS(E_F): 0.1703 states/eV/atom

=====

Entry 7:
Density functional theory data (PBE) for crystalline Li4CrTe at its relaxed geometry.

a b c (Å): 5.3935 5.3935 5.3935
angles (deg): 60.00 60.00 60.00
Positions (direct):
Li: 0.1254 0.1254 0.1254
Li: 0.1254 0.1254 0.6237
Li: 0.1254 0.6237 0.1254
Li: 0.6237 0.1254 0.1254
Cr: 0.5000 0.5000 0.5000
Te: 0.7500 0.7500 0.7500

## Properties
* formation energy from raw total energies: 0.073 eV per atom
* space group: No. 216
* DOS(E_F): 0.3318 states/eV/atom

=====

Entry 8:
Density functional theory data (PBE) for crystalline LiCrTe4 at its relaxed geometry.

a b c (Å): 6.4117 6.4117 6.4117
angles (deg): 60.00 60.00 60.00
Positions (direct):
Li: 0.0000 0.0000 0.0000
Cr: 0.2500 0.2500 0.2500
Te: 0.1260 0.6247 0.6247
Te: 0.6247 0.1260 0.6247
Te: 0.6247 0.6247 0.1260
Te: 0.6247 0.6247 0.6247

## Properties
* formation energy from raw total energies: 0.453 eV per atom
* space group: No. 216
* DOS(E_F): 0.6236 states/eV/atom

=====

Entry 9:
Density functional theory data (PBE) for crystalline LiCr2Te at its relaxed geometry.

a b c (Å): 5.0885 5.0885 5.0885
angles (deg): 133.07 133.00 68.60
Positions (direct):
Li: 0.0000 0.0000 0.0000
Cr: 0.2509 0.7509 0.5000
Cr: 0.7491 0.2491 0.5000
Te: 0.5000 0.5000 0.0000

## Properties
* formation energy from raw total energies: 0.353 eV per atom
* space group: No. 71
* DOS(E_F): 0.6998 states/eV/atom

=====

Entry 10:
Density functional theory data (PBE) for crystalline LiCr2Te at its relaxed geometry.

a b c (Å): 3.4851 3.4851 5.7666
angles (deg): 90.00 90.00 90.00
Positions (direct):
Li: 0.0000 0.0000 0.0000
Cr: 0.0000 0.0000 0.5297
Cr: 0.5000 0.5000 0.7245
Te: 0.5000 0.5000 0.2425

## Properties
* formation energy from raw total energies: 0.176 eV per atom
* space group: No. 99
* DOS(E_F): 0.6314 states/eV/atom

=====

Entry 11:
Density functional theory data (PBE) for crystalline LiTl2Cr2Te6 at its relaxed geometry.

a b c (Å): 7.0201 7.0201 8.1369
angles (deg): 98.44 98.44 120.80
Positions (direct):
Li: 0.0000 0.0000 0.0000
Tl: 0.1569 0.8431 0.5000
Tl: 0.8431 0.1569 0.5000
Cr: 0.3275 0.6725 0.0000
Cr: 0.6725 0.3275 0.0000
Te: 0.0669 0.4226 0.1982
Te: 0.2922 0.2922 0.8147
Te: 0.4226 0.0669 0.1982
Te: 0.5774 0.9331 0.8018
Te: 0.7078 0.7078 0.1853
Te: 0.9331 0.5774 0.8018

## Properties
* formation energy from raw total energies: -0.259 eV per atom
* space group: No. 12
* DOS(E_F): 0.5869 states/eV/atom

=====

Entry 12:
Density functional theory data (PBE) for crystalline LiTlCrTe3 at its relaxed geometry.

a b c (Å): 8.3769 4.0118 10.5949
angles (deg): 90.00 112.21 90.00
Positions (direct):
Li: 0.0724 0.2500 0.1088
Li: 0.9276 0.7500 0.8912
Tl: 0.2580 0.2500 0.8006
Tl: 0.7420 0.7500 0.1994
Cr: 0.3146 0.7500 0.3437
Cr: 0.6854 0.2500 0.6563
Te: 0.1081 0.2500 0.3720
Te: 0.2740 0.7500 0.0745
Te: 0.4489 0.7500 0.6233
Te: 0.5511 0.2500 0.3767
Te: 0.7260 0.2500 0.9255
Te: 0.8919 0.7500 0.6280

## Properties
* formation energy from raw total energies: -0.378 eV per atom
* space group: No. 11
* DOS(E_F): 0.4396 states/eV/atom